Record 1
Below is crystalline TiBeHg2W at its relaxed geometry, with properties calculated at the PBE level.

The calculation puts the formation energy at 1.47 eV per atom. The volume is 131.03 Å³/f.u. Its final energy is -3.567 eV per atom.

The structure belongs to space group P4/mmm (No. 123); the cell edges are 5.334, 5.334 and 4.606 Å and the angles 90.00°, 90.00° and 90.00°. The inequivalent atoms are Ti at (0.000, 0.000, 0.000), Be at (0.500, 0.500, 0.000), Hg at (0.000, 0.500, 0.500) and W at (0.000, 0.000, 0.500).


Record 2
Below is crystalline Hf6MnOs5 at its relaxed geometry, with properties calculated at the PBE level.

The calculation puts the formation energy at -0.63 eV per atom. The volume is 204.27 Å³/f.u. Its final energy is -11.049 eV per atom.

The structure belongs to space group Cmmm (No. 65); the cell edges are 4.586, 13.756 and 6.475 Å and the angles 90.00°, 90.00° and 90.00°. The inequivalent atoms are Hf at (0.000, 0.000, 0.246), Hf at (0.000, 0.335, 0.248), Mn at (0.000, 0.500, 0.000), Os at (0.000, 0.166, 0.000), Os at (0.000, 0.167, 0.500) and Os at (0.000, 0.500, 0.500).


Record 3
Below is crystalline Hf2Tc2Te at its relaxed geometry, with properties calculated at the PBE level.

The formation energy from raw total energies comes out at -37 meV per atom. The volume is 101.65 Å³/f.u. Its final energy is -8.793 eV per atom. The calculation puts the energy above the most stable polymorph in this dataset at 0.0 kJ/mol of atoms.

The structure belongs to space group I4/mmm (No. 139); the cell edges are 3.549, 3.549 and 16.137 Å and the angles 90.00°, 90.00° and 90.00°. The inequivalent atoms are Hf at (0.000, 0.000, 0.108), Tc at (0.000, 0.500, 0.250) and Te at (0.000, 0.000, 0.500).


Record 4
Below is crystalline Zn2SiTe at its relaxed geometry, with properties calculated at the PBE level.

The formation energy from raw total energies comes out at 197 meV per atom. The volume is 80.54 Å³/f.u. Its final energy is -2.581 eV per atom. The calculation puts the energy above the most stable polymorph in this dataset at 12.5 kJ/mol of atoms.

The structure belongs to space group C2/m (No. 12); the cell edges are 7.497, 3.719 and 6.089 Å and the angles 90.00°, 108.42° and 90.00°. The inequivalent atoms are Zn at (0.238, 0.000, 0.200), Si at (0.000, 0.500, 0.000) and Te at (0.000, 0.000, 0.500).


Record 5
Below is crystalline CaNbAu at its relaxed geometry, with properties calculated at the PBE level.

The calculation puts the formation energy at 0.37 eV per atom. The volume is 65.73 Å³/f.u. Its final energy is -4.748 eV per atom. The calculation puts the energy above the most stable polymorph in this dataset at 58.5 kJ/mol of atoms.

The structure belongs to space group P4/nmm (No. 129, origin choice 2); the cell edges are 4.148, 4.148 and 7.640 Å and the angles 90.00°, 90.00° and 90.00°. The inequivalent atoms are Ca at (0.250, 0.750, 0.000), Nb at (0.250, 0.250, 0.370) and Au at (0.250, 0.250, 0.709).


Record 6
Below is crystalline Tb2Pr3Sm6 at its relaxed geometry, with properties calculated at the PBE level.

The calculation puts the formation energy at 0.01 eV per atom. The volume is 375.06 Å³/f.u. Its final energy is -4.706 eV per atom. The calculation puts the energy above the most stable polymorph in this dataset at 0.0 kJ/mol of atoms.

The structure belongs to space group P-1 (No. 2); the cell edges are 6.296, 8.125 and 8.155 Å and the angles 107.44°, 104.82° and 97.40°. The inequivalent atoms are Tb at (0.090, 0.318, 0.364), Pr at (0.000, 0.500, 0.000), Pr at (0.364, 0.772, 0.455), Sm at (0.182, 0.135, 0.727), Sm at (0.272, 0.955, 0.090) and Sm at (0.454, 0.592, 0.818).


Record 7
Below is crystalline TbCeNd2P4 at its relaxed geometry, with properties calculated at the PBE level.

The calculation puts the formation energy at -1.55 eV per atom. The volume is 196.29 Å³/f.u. Its final energy is -6.770 eV per atom.

The structure belongs to space group P2/m (No. 10); the cell edges are 7.108, 4.111 and 7.122 Å and the angles 90.00°, 109.39° and 90.00°. The inequivalent atoms are Tb at (0.000, 0.000, 0.000), Ce at (0.500, 0.500, 0.000), Nd at (0.000, 0.500, 0.500), Nd at (0.500, 0.000, 0.500), P at (0.248, 0.500, 0.241) and P at (0.253, 0.000, 0.759).


Record 8
Below is crystalline AlGa2Ag5 at its relaxed geometry, with properties calculated at the PBE level.

The calculation puts the formation energy at 0.09 eV per atom. The volume is 156.39 Å³/f.u. Its final energy is -2.921 eV per atom. The calculation puts the energy above the most stable polymorph in this dataset at 7.5 kJ/mol of atoms.

The structure belongs to space group Cmcm (No. 63); the cell edges are 4.564, 12.560 and 10.912 Å and the angles 90.00°, 90.00° and 90.00°. The inequivalent atoms are Al at (0.000, 0.239, 0.250), Ga at (0.000, 0.368, 0.634), Ag at (0.000, 0.138, 0.750), Ag at (0.000, 0.178, 0.015) and Ag at (0.000, 0.423, 0.109).


Record 9
Below is crystalline In2HgRh4 at its relaxed geometry, with properties calculated at the PBE level.

The calculation puts the formation energy at 0.91 eV per atom. The volume is 162.19 Å³/f.u. Its final energy is -4.116 eV per atom.

The structure belongs to space group I4/mmm (No. 139); the cell edges are 4.910, 4.910 and 13.453 Å and the angles 90.00°, 90.00° and 90.00°. The inequivalent atoms are In at (0.000, 0.000, 0.113), Hg at (0.000, 0.000, 0.500), Rh at (0.000, 0.000, 0.303) and Rh at (0.000, 0.500, 0.000).


Record 10
Below is crystalline PuTePb at its relaxed geometry, with properties calculated at the PBE level.

The formation energy from raw total energies comes out at -468 meV per atom. The volume is 104.89 Å³/f.u. Its final energy is -7.529 eV per atom.

The structure belongs to space group R-3m (No. 166, hexagonal axes); the cell edges are 5.1679, 5.1679 and 27.2113 Å and the angles 90.00°, 90.00° and 120.00°. The inequivalent atoms are Pu at (0.0000, 0.0000, 0.2339), Te at (0.0000, 0.0000, 0.1182) and Pb at (0.0000, 0.0000, 0.3593).


Record 11
Below is crystalline AcHo4Tm6 at its relaxed geometry, with properties calculated at the PBE level.

The calculation puts the formation energy at 0.45 eV per atom. The volume is 386.89 Å³/f.u. Its final energy is -4.027 eV per atom.

The structure belongs to space group I-42m (No. 121); the cell edges are 7.870, 7.870 and 12.494 Å and the angles 90.00°, 90.00° and 90.00°. The inequivalent atoms are Ac at (0.000, 0.000, 0.000), Ho at (0.162, 0.162, 0.428), Tm at (0.000, 0.500, 0.000) and Tm at (0.229, 0.229, 0.691).


Record 12
Below is crystalline NbZnI2O at its relaxed geometry, with properties calculated at the PBE level.

The formation energy from raw total energies comes out at -576 meV per atom. The volume is 130.81 Å³/f.u. Its final energy is -4.457 eV per atom. The calculation puts the energy above the most stable polymorph in this dataset at 0.0 kJ/mol of atoms.

The structure belongs to space group P4/mmm (No. 123); the cell edges are 5.773, 5.773 and 3.924 Å and the angles 90.00°, 90.00° and 90.00°. The inequivalent atoms are Nb at (0.000, 0.000, 0.000), Zn at (0.500, 0.500, 0.500), I at (0.000, 0.500, 0.000) and O at (0.000, 0.000, 0.500).